TeWCl2, single point on PBEsol structure, DFT meta-GGA SCAN; magnetic moment = 0.0 Bohr magnetons per cell; crystal system = orthorhombic; calculated density = 7.922 g/cm3; VASP energy = -121.474 eV/cell; energy above the lowest structure with this stoichiometry = 401 meV/atom; ΔE_f (raw) = 1.42 eV/f.u.
1.0
-0.517 -0.409 3.101
-2.143 -0.957 -2.104
4.112 -8.311 -0.409
Cl W Te
2 1 1
Cartesian
3.947 -7.975 -0.393
0.812 -2.368 1.444
2.889 -6.565 1.237
2.116 -4.277 -0.211

***

Nb2O5, single point on PBEsol structure, DFT meta-GGA SCAN; magnetic moment = 0.0 Bohr magnetons per cell; crystal system = triclinic; calculated density = 4.517 g/cm3; VASP energy = -1164.027 eV/cell; energy above the lowest structure with this stoichiometry = 19 meV/atom; ΔE_f (raw) = -18.99 eV/f.u.
1.0
7.719 -0.002 0.004
1.923 11.195 0.010
1.935 0.079 11.308
O Nb
50 20
Cartesian
0.000 0.000 0.000
3.871 3.340 8.245
5.877 8.263 8.050
3.868 0.788 9.431
5.777 5.544 9.199
7.701 5.345 4.181
5.801 5.728 2.123
7.711 3.511 7.994
2.002 2.985 3.239
7.710 10.485 1.890
7.705 4.046 1.584
3.867 4.123 1.505
7.720 0.902 9.423
3.860 -0.001 0.002
7.749 4.353 10.808
7.706 7.933 3.076
5.879 4.075 5.891
7.723 2.364 5.510
3.852 2.147 5.520
5.911 0.463 4.461
5.701 3.009 3.271
7.717 6.007 7.229
5.667 10.809 6.861
5.787 1.564 7.181
3.861 5.266 4.092
7.726 9.125 5.802
9.576 8.288 8.083
1.930 1.650 7.217
3.854 8.909 5.811
1.848 4.094 5.853
3.829 6.919 0.514
3.877 5.928 7.140
5.791 9.708 4.141
1.914 5.700 2.150
5.787 1.847 0.760
1.842 0.431 4.466
9.664 5.573 9.172
3.832 4.462 10.820
9.645 9.410 10.578
9.730 7.178 5.469
3.858 10.370 1.899
7.746 6.810 0.502
5.699 7.198 5.431
3.873 7.226 9.738
7.710 7.149 9.817
9.736 10.842 6.855
3.866 7.762 3.327
5.791 9.426 10.561
1.933 1.863 0.744
9.648 9.622 4.104
3.865 6.194 2.271
7.733 1.344 7.629
3.856 6.613 5.365
7.714 6.222 2.463
5.861 8.919 6.338
9.663 7.594 10.101
1.986 2.370 4.940
3.850 1.322 7.666
7.713 5.078 9.051
1.930 0.030 0.034
7.722 4.659 5.957
3.864 5.050 8.858
9.648 11.242 11.287
7.728 9.951 3.656
3.845 9.928 3.692
1.915 3.678 1.220
5.717 2.353 4.984
9.591 8.902 6.382
5.779 7.685 9.997
5.799 3.588 1.324

***

NbGaI2, single point on PBEsol structure, DFT meta-GGA SCAN; magnetic moment = 0.0 Bohr magnetons per cell; crystal system = cubic; calculated density = 7.833 g/cm3; VASP energy = -120.835 eV/cell; ΔE_f (raw) = 2.12 eV/f.u.
1.0
-1.380 4.664 1.148
-3.752 0.778 3.208
0.944 1.837 4.551
I Nb Ga
2 1 1
Cartesian
-1.047 1.820 2.227
-3.142 5.459 6.680
-2.095 3.640 4.454
0.000 0.000 0.000

***

PmTmTl2, single point on PBEsol structure, DFT meta-GGA SCAN; magnetic moment = 0.0 Bohr magnetons per cell; energy relative to the elements = -0.535 eV per atom; crystal system = cubic; calculated density = 11.419 g/cm3; VASP energy = -242.673 eV/cell
1.0
-4.843 2.075 -0.550
-3.280 -1.879 -3.711
-4.262 -2.812 1.410
Tm Tl Pm
1 2 1
Cartesian
0.000 0.000 0.000
-9.289 -1.962 -2.138
-3.096 -0.654 -0.713
-6.192 -1.308 -1.425

***

Question: magnetic moment of number 3 (NbGaI2)?
Answer: 0.0 Bohr magnetons per cell